No. 1
PrPu5Sb6 | PBE | optimized geometry

Results
Formation energy (no corrections)   -8.1 eV/f.u.
D(E_F)   137.0 states/eV per cell
Size of the total moment   31.054 μB/cell

a b c (Å): 7.702 13.353 7.707
angles (deg): 90.00 109.53 90.00
Space group C2/m (No. 12)
Asymmetric unit:
Pr  0.000  0.000  0.000
Pu  0.000  0.164  0.500
Pu  0.000  0.333  0.000
Pu  0.000  0.500  0.500
Sb  0.244  0.500  0.251
Sb  0.246  0.330  0.746

=====

No. 2
Pr2PuSb | PBE | optimized geometry

Results
Formation energy (no corrections)   -0.9 eV/f.u.
Distance to the lowest polymorph of the same formula   0.2258 eV per atom
D(E_F)   35.1 states/eV per cell
Size of the total moment   21.988 μB/cell

a b c (Å): 4.1124 4.1124 28.9666
angles (deg): 90.00 90.00 120.00
Space group R-3m (No. 166, hexagonal axes)
Asymmetric unit:
Pr  0.0000  0.0000  0.2362
Pu  0.0000  0.0000  0.0000
Sb  0.0000  0.0000  0.5000

=====

No. 3
Pr5PuSb6 | PBE | optimized geometry

Results
Formation energy (no corrections)   -13.0 eV/f.u.
D(E_F)   35.5 states/eV per cell
Size of the total moment   10.037 μB/cell

a b c (Å): 7.860 13.612 7.860
angles (deg): 90.00 109.48 90.00
Space group C2/m (No. 12)
Asymmetric unit:
Pr  0.000  0.000  0.000
Pr  0.000  0.166  0.500
Pr  0.000  0.331  0.000
Pu  0.000  0.500  0.500
Sb  0.245  0.500  0.252
Sb  0.246  0.336  0.746

=====

No. 4
PrPuSbSe | PBE | optimized geometry

Results
Formation energy (no corrections)   -5.2 eV/f.u.
D(E_F)   33.6 states/eV per cell
Size of the total moment   16.806 μB/cell

a b c (Å): 4.3707 4.3707 21.2220
angles (deg): 90.00 90.00 120.00
Space group R3m (No. 160, hexagonal axes)
Asymmetric unit:
Pr  0.0000  0.0000  0.0000
Pu  0.0000  0.0000  0.4909
Sb  0.0000  0.0000  0.2430
Se  0.0000  0.0000  0.7494

=====

No. 5
Tb2PrPuSb4 | PBE | optimized geometry

Results
Formation energy (no corrections)   -8.1 eV/f.u.
D(E_F)   16.4 states/eV per cell
Size of the total moment   5.034 μB/cell

a b c (Å): 7.698 4.457 7.703
angles (deg): 90.00 109.50 90.00
Space group P2/m (No. 10)
Asymmetric unit:
Tb  0.000  0.000  0.000
Tb  0.000  0.500  0.500
Pr  0.500  0.000  0.500
Pu  0.500  0.500  0.000
Sb  0.243  0.500  0.243
Sb  0.246  0.000  0.753

=====

No. 6
TbPrPu2Sb4 | PBE | optimized geometry

Results
Formation energy (no corrections)   -6.9 eV/f.u.
D(E_F)   33.0 states/eV per cell
Size of the total moment   0.045 μB/cell

a b c (Å): 7.694 4.461 7.723
angles (deg): 90.00 109.46 90.00
Space group P2/m (No. 10)
Asymmetric unit:
Tb  0.000  0.000  0.000
Pr  0.000  0.500  0.500
Pu  0.500  0.000  0.500
Pu  0.500  0.500  0.000
Sb  0.253  0.500  0.247
Sb  0.257  0.000  0.757